[1]
Density functional theory data (PBE) for an optimized crystal structure of CeHoTm2Bi4.

The structure in CIF format:
```
data_CeHoTm2Bi4
_chemical_formula_sum 'Ce1 Ho1 Tm2 Bi4'
_cell_length_a 7.7577
_cell_length_b 4.4900
_cell_length_c 7.7643
_cell_angle_alpha 90.00
_cell_angle_beta 109.48
_cell_angle_gamma 90.00
_space_group_name_H-M_alt 'P 1'
_space_group_IT_number 1
_space_group_name_Hall 'P 1'
loop_
_atom_site_label
_atom_site_type_symbol
_atom_site_fract_x
_atom_site_fract_y
_atom_site_fract_z
Ce1 Ce 0.0000 0.0000 0.0000
Ho1 Ho 0.0000 0.5000 0.5000
Tm1 Tm 0.5000 0.0000 0.5000
Tm2 Tm 0.5000 0.5000 0.0000
Bi1 Bi 0.2546 0.0000 0.7483
Bi2 Bi 0.2574 0.5000 0.2560
Bi3 Bi 0.7426 0.5000 0.7440
Bi4 Bi 0.7454 0.0000 0.2517
```

Formation energy from the elements in meV per atom: -795

[2]
Density functional theory data (PBE) for an optimized crystal structure of ZnTeRu4.

The structure in CIF format:
```
data_ZnTeRu4
_chemical_formula_sum 'Zn1 Te1 Ru4'
_cell_length_a 5.2010
_cell_length_b 5.2010
_cell_length_c 5.2010
_cell_angle_alpha 60.00
_cell_angle_beta 60.00
_cell_angle_gamma 60.00
_space_group_name_H-M_alt 'P 1'
_space_group_IT_number 1
_space_group_name_Hall 'P 1'
loop_
_atom_site_label
_atom_site_type_symbol
_atom_site_fract_x
_atom_site_fract_y
_atom_site_fract_z
Zn1 Zn 0.0000 0.0000 0.0000
Te1 Te 0.2500 0.2500 0.2500
Ru1 Ru 0.1251 0.6250 0.6250
Ru2 Ru 0.6250 0.1251 0.6250
Ru3 Ru 0.6250 0.6250 0.1251
Ru4 Ru 0.6250 0.6250 0.6250
```

E_form (uncorrected) in eV/atom: 0.58

Number 1: total magnetic moment 0.805 μB per cell, E -5.168 eV per atom. Number 2: total magnetic moment 0.953 μB per cell, E -6.336 eV per atom.